--- P ---
VASP calculation (GGA-PBE) on a geometry-optimized YCuRe3 structure.

Geometry as POSCAR:
```
YCuRe3
1.0
-2.9493 1.5069 -3.4828
0.6721 -4.1338 -2.3577
-3.7348 -1.9338 2.3260
Y Re Cu
1 3 1
Direct
0.0000 0.0000 0.0000 Y
0.0000 0.0000 0.5000 Re
0.0000 0.5000 0.0000 Re
0.5000 0.0000 0.0000 Re
0.5000 0.5000 0.5000 Cu
```

Results
Fermi-level density of states = 7.1 states/eV per cell
Mass density = 10636 kg/m³
SG = No. 221

---

--- Q ---
VASP calculation (GGA-PBE) on a geometry-optimized YCuRe3 structure.

Geometry as POSCAR:
```
YCuRe3
1.0
-2.3761 0.4759 3.8683
-3.4451 -2.3750 -1.8239
1.8225 -3.8690 1.5955
Re Y Cu
3 1 1
Direct
0.0000 0.0000 0.5000 Re
0.0000 0.5000 0.0000 Re
0.5000 0.0000 0.0000 Re
0.5000 0.5000 0.5000 Y
0.0000 0.0000 0.0000 Cu
```

Results
Fermi-level density of states = 6.9 states/eV per cell
Mass density = 12414 kg/m³
SG = No. 221

---

Most stable structure: Q

---

--- P ---
VASP calculation (GGA-PBE) on a geometry-optimized Zn2CuRe structure.

Geometry as POSCAR:
```
Zn2CuRe
1.0
-2.7481 2.6202 2.7540
-4.2558 0.4774 -1.9137
2.6805 -3.7527 0.8570
Zn Cu Re
2 1 1
Direct
0.5000 0.5000 0.0000 Zn
0.0000 0.0000 0.0000 Zn
0.2500 0.7500 0.5000 Cu
0.7500 0.2500 0.5000 Re
```

Results
Fermi-level density of states = 1.4 states/eV per cell
Mass density = 11451 kg/m³
SG = No. 139

---

--- Q ---
VASP calculation (GGA-PBE) on a geometry-optimized Zn2CuRe structure.

Geometry as POSCAR:
```
Zn2CuRe
1.0
4.8137 0.0003 0.0000
1.9643 4.3947 0.0000
-3.3890 -2.1975 2.6187
Zn Re Cu
2 1 1
Direct
0.0000 0.0000 0.0000 Zn
0.2500 0.7500 0.5000 Zn
0.7500 0.2500 0.5000 Re
0.5000 0.5000 0.0000 Cu
```

Results
Fermi-level density of states = 2.2 states/eV per cell
Mass density = 11408 kg/m³
SG = No. 119

---

--- R ---
VASP calculation (GGA-PBE) on a geometry-optimized Zn2CuRe structure.

Geometry as POSCAR:
```
Zn2CuRe
1.0
3.6475 0.0000 0.0000
0.0000 3.8665 0.0000
0.0000 0.0000 3.8665
Zn Cu Re
2 1 1
Direct
0.0000 0.0000 0.0000 Zn
0.0000 0.5000 0.5000 Zn
0.5000 0.5000 0.0000 Cu
0.5000 0.0000 0.5000 Re
```

Results
Fermi-level density of states = 1.9 states/eV per cell
Mass density = 11590 kg/m³
SG = No. 123

---

Most stable structure: R